Computed, not measured: crystalline ZnHgS2 at its relaxed geometry at the PBE level of DFT.

Unit cell a=11.781 b=11.781 c=4.106 alpha=90.00 beta=90.00 gamma=162.59
Atoms (fractional coordinates):
S 0.209 0.791 0.250
S 0.791 0.209 0.750
S 0.887 0.113 0.250
S 0.113 0.887 0.750
Zn 0.311 0.689 0.250
Zn 0.689 0.311 0.750
Hg 0.045 0.955 0.250
Hg 0.955 0.045 0.750

Values from the calculation:
As for the calculated volume: 85.3 Å³/f.u. The value obtained for the total DFT energy (no corrections) is -2.4415 eV/atom. The value obtained for the formation energy without anion corrections is 0.016 eV/atom. Its crystal system is orthorhombic. The magnetization is 0.000 μB per cell. The value obtained for the density of states at the Fermi level is 1.41 states/eV/f.u.


Computed, not measured: crystalline SrYRe2 at its relaxed geometry at the PBE level of DFT.

Unit cell a=2.886 b=2.886 c=10.022 alpha=90.00 beta=90.00 gamma=90.00
Atoms (fractional coordinates):
Re 0.000 0.000 0.987
Re 0.000 0.000 0.513
Sr 0.500 0.500 0.250
Y 0.500 0.500 0.750

Values from the calculation:
As for the calculated volume: 83.5 Å³/f.u. The value obtained for the total DFT energy (no corrections) is -7.2695 eV/atom. Its crystal system is tetragonal. The magnetization is 0.000 μB per cell. The value obtained for the density of states at the Fermi level is 5.06 states/eV/f.u.


Computed, not measured: crystalline Ba7Zn2Ag2 at its relaxed geometry at the PBE level of DFT.

Unit cell a=7.851 b=8.475 c=7.851 alpha=90.01 beta=111.47 gamma=89.99
Atoms (fractional coordinates):
Ba 0.000 0.278 0.500
Ba 0.500 0.722 0.000
Ba 0.000 0.722 0.500
Ba 0.500 0.278 0.000
Ba 0.000 0.000 0.000
Ba 0.500 0.736 0.500
Ba 0.500 0.264 0.500
Zn 0.849 0.500 0.849
Zn 0.151 0.500 0.151
Ag 0.702 0.000 0.298
Ag 0.298 0.000 0.702

Values from the calculation:
As for the calculated volume: 486.1 Å³/f.u. The value obtained for the total DFT energy (no corrections) is -1.9938 eV/atom. Its crystal system is orthorhombic. The magnetization is 0.000 μB per cell. The value obtained for the density of states at the Fermi level is 13.55 states/eV/f.u.


Computed, not measured: crystalline Sr2Ni2Sb at its relaxed geometry at the PBE level of DFT.

Unit cell a=9.861 b=9.861 c=9.861 alpha=159.02 beta=159.02 gamma=29.84
Last column: magnetic moment on the atom in μB.
Atoms (fractional coordinates):
Sr 0.378 0.378 0.000  -0.01
Sr 0.622 0.622 0.000  -0.01
Ni 0.750 0.250 0.500  0.18
Ni 0.250 0.750 0.500  0.18
Sb 0.000 0.000 0.000  0.00

Values from the calculation:
As for the calculated volume: 122.9 Å³/f.u. The value obtained for the total DFT energy (no corrections) is -3.9594 eV/atom. The value obtained for the formation energy without anion corrections is -0.150 eV/atom. Its crystal system is tetragonal. The magnetization is 0.293 μB per cell. The value obtained for the density of states at the Fermi level is 4.44 states/eV/f.u.